Density functional theory data (GGA+U) for an optimized crystal structure of V2HSeO.

size of the total moment = 5.95 μB/f.u.
mass density = 4.05 g/cm3
volume = 16.2 Å³ per atom
N(E_F) = 1.41 states/eV/cell
E_tot = -24.57 eV per cell
space-group type = P4/mmm, No. 123

a b c (Å): 4.233 4.532 4.233
angles (deg): 90.00 90.00 90.00
Element x y z (fractional)
1 Se 0.000 0.500 0.000
2 V 0.000 0.000 0.500
3 V 0.500 0.000 0.000
4 H 0.500 0.500 0.500
5 O 0.000 0.000 0.000